[1]
MgPbSe2 | meta-GGA SCAN | single point on PBEsol structure

Cell: 4.138 4.138 5.845 Å, 90.00 90.00 90.00°
Atoms (fractional coordinates):
1 Mg 0.000 0.000 0.000
2 Pb 0.500 0.500 0.500
3 Se 0.000 0.000 0.500
4 Se 0.500 0.500 0.000

Properties
ρ, g cm⁻³: 6.462
Uncorrected formation energy, eV per atom: -0.8654
Final energy, eV/atom: -31.093



[2]
MgPbSe2 | meta-GGA SCAN | single point on PBEsol structure

Cell: 4.076 4.076 7.170 Å, 73.48 73.48 60.00°
Atoms (fractional coordinates):
1 Pb 0.000 0.000 0.000
2 Mg 0.500 0.500 0.500
3 Se 0.761 0.761 0.716
4 Se 0.239 0.239 0.284

Properties
ρ, g cm⁻³: 6.635
Uncorrected formation energy, eV per atom: -0.9573
Final energy, eV/atom: -31.185



[3]
Mg2SiPb | meta-GGA SCAN | single point on PBEsol structure

Cell: 3.358 3.184 8.032 Å, 90.00 89.97 90.00°
Atoms (fractional coordinates):
1 Mg 0.000 0.000 0.709
2 Mg 0.000 0.000 0.291
3 Pb 0.500 0.500 0.000
4 Si 0.500 0.500 0.500

Properties
ρ, g cm⁻³: 5.490
Uncorrected formation energy, eV per atom: 0.0339
Final energy, eV/atom: -23.902



[4]
MgSi2Pb | meta-GGA SCAN | single point on PBEsol structure

Cell: 4.195 4.195 5.458 Å, 112.60 112.60 90.00°
Atoms (fractional coordinates):
1 Mg 0.500 0.500 0.000
2 Pb 0.000 0.000 0.000
3 Si 0.750 0.250 0.500
4 Si 0.250 0.750 0.500

Properties
ρ, g cm⁻³: 5.925
Uncorrected formation energy, eV per atom: 0.4884
Final energy, eV/atom: -24.708



[5]
MgSiPb2 | meta-GGA SCAN | single point on PBEsol structure

Cell: 3.413 3.413 8.267 Å, 90.00 90.00 90.00°
Atoms (fractional coordinates):
1 Mg 0.500 0.500 0.709
2 Pb 0.000 0.000 0.973
3 Pb 0.500 0.500 0.291
4 Si 0.000 0.000 0.527

Properties
ρ, g cm⁻³: 8.047
Uncorrected formation energy, eV per atom: 0.2030
Final energy, eV/atom: -41.435



[6]
MgSi2Pb | meta-GGA SCAN | single point on PBEsol structure

Cell: 4.907 4.907 4.907 Å, 60.00 60.00 60.00°
Atoms (fractional coordinates):
1 Mg 0.000 0.000 0.000
2 Pb 0.500 0.500 0.500
3 Si 0.250 0.250 0.250
4 Si 0.750 0.750 0.750

Properties
ρ, g cm⁻³: 5.719
Uncorrected formation energy, eV per atom: 0.5981
Final energy, eV/atom: -24.599



[7]
MgSi2Pb | meta-GGA SCAN | single point on PBEsol structure

Cell: 4.493 4.239 4.239 Å, 90.00 90.00 90.00°
Atoms (fractional coordinates):
1 Mg 0.500 0.500 0.500
2 Pb 0.500 0.000 0.000
3 Si 0.000 0.000 0.500
4 Si 0.000 0.500 0.000

Properties
ρ, g cm⁻³: 5.916
Uncorrected formation energy, eV per atom: 0.4839
Final energy, eV/atom: -24.713



[8]
MgSi2Pb | meta-GGA SCAN | single point on PBEsol structure

Cell: 3.683 3.683 6.132 Å, 90.00 90.00 90.00°
Atoms (fractional coordinates):
1 Mg 0.500 0.500 0.000
2 Pb 0.500 0.500 0.500
3 Si 0.000 0.000 0.807
4 Si 0.000 0.000 0.193

Properties
ρ, g cm⁻³: 5.742
Uncorrected formation energy, eV per atom: 0.3986
Final energy, eV/atom: -24.798